# 1
Nd12TmAl3 | GGA-PBE | relaxed

Geometry as POSCAR:
```
Nd12TmAl3
1.0
4.9355 0.0000 0.0000
0.0000 4.9355 0.0000
0.0000 0.0000 20.0619
Nd Tm Al
12 1 3
direct
0.5000 0.5000 0.0000
0.5000 0.5000 0.2559
0.5000 0.5000 0.5000
0.5000 0.5000 0.7441
0.5000 0.0000 0.1335
0.5000 0.0000 0.3777
0.5000 0.0000 0.6223
0.5000 0.0000 0.8665
0.0000 0.5000 0.1335
0.0000 0.5000 0.3777
0.0000 0.5000 0.6223
0.0000 0.5000 0.8665
0.0000 0.0000 0.0000
0.0000 0.0000 0.2567
0.0000 0.0000 0.5000
0.0000 0.0000 0.7433
```

Computed properties:
SG: P4/mmm

***

# 2
NdTmAl3 | GGA-PBE | relaxed

Geometry as POSCAR:
```
NdTmAl3
1.0
-1.4047 -3.3708 -2.7342
2.0878 -2.3664 1.8447
-11.5432 -1.3964 7.6519
Nd Tm Al
2 2 6
direct
0.2500 0.0733 0.1467
0.7500 0.9267 0.8533
0.2500 0.7882 0.5764
0.7500 0.2118 0.4236
0.2500 0.3785 0.7570
0.7500 0.6215 0.2430
0.2500 0.4756 0.9513
0.7500 0.5244 0.0487
0.7500 0.3255 0.6510
0.2500 0.6745 0.3490
```

Computed properties:
SG: Cmcm

***

# 3
NdTm6Al6 | GGA-PBE | relaxed

Geometry as POSCAR:
```
NdTm6Al6
1.0
5.8698 -0.0003 0.0000
-2.9345 5.0835 0.0000
0.0000 0.0000 10.4252
Nd Tm Al
1 6 6
direct
0.0000 0.0000 0.0000
0.0000 0.0000 0.6628
0.0000 0.0000 0.3372
0.3333 0.6667 0.0000
0.6667 0.3333 0.0000
0.3333 0.6667 0.5000
0.6667 0.3333 0.5000
0.0000 0.5000 0.7547
0.5000 0.0000 0.7547
0.5000 0.5000 0.7547
0.5000 0.0000 0.2453
0.0000 0.5000 0.2453
0.5000 0.5000 0.2453
```

Computed properties:
SG: P6/mmm

***

# 4
Nd2Tm2Al | GGA-PBE | relaxed

Geometry as POSCAR:
```
Nd2Tm2Al
1.0
-4.7243 -0.9920 -0.9643
-2.5759 -2.8966 3.0345
-4.7869 5.5248 5.2033
Nd Tm Al
2 2 1
direct
0.5651 0.5651 0.3047
0.4349 0.4349 0.6953
0.3009 0.3009 0.0973
0.6991 0.6991 0.9027
0.0000 0.0000 0.0000
```

Computed properties:
SG: R-3m
distance to the lowest polymorph of the same formula: 0.569 eV per atom

***

# 5
Nd5TmAl2 | GGA-PBE | relaxed

Geometry as POSCAR:
```
Nd5TmAl2
1.0
5.4232 0.0000 0.0000
-2.7116 4.6966 0.0000
0.0000 0.0000 20.0520
Nd Tm Al
10 2 4
direct
0.0000 0.0000 0.3448
0.0000 0.0000 0.1552
0.6667 0.3333 0.2500
0.0000 0.0000 0.8448
0.6667 0.3333 0.0545
0.3333 0.6667 0.7500
0.3333 0.6667 0.9455
0.3333 0.6667 0.5545
0.6667 0.3333 0.4455
0.0000 0.0000 0.6552
0.3333 0.6667 0.2500
0.6667 0.3333 0.7500
0.6667 0.3333 0.6022
0.3333 0.6667 0.1022
0.3333 0.6667 0.3978
0.6667 0.3333 0.8978
```

Computed properties:
SG: P6_3/mmc

***

# 6
Nd5TmAl6 | GGA-PBE | relaxed

Geometry as POSCAR:
```
Nd5TmAl6
1.0
-4.5623 -0.3654 -2.5573
3.3408 -3.6912 -5.4327
-2.1343 -8.8065 -0.3265
Tm Nd Al
1 5 6
direct
0.0000 0.0000 0.0000
0.6741 0.1739 0.6521
0.3374 0.3374 0.3252
0.0000 0.5000 0.0000
0.6626 0.6626 0.6748
0.3259 0.8261 0.3479
0.8378 0.5990 0.3243
0.8377 0.0766 0.3243
0.5000 0.7716 0.0000
0.5000 0.2284 0.0000
0.1623 0.9234 0.6757
0.1622 0.4010 0.6757
```

Computed properties:
SG: C2/m

***

# 7
Nd6TmAl2 | GGA-PBE | relaxed

Geometry as POSCAR:
```
Nd6TmAl2
1.0
-2.5276 -0.3646 -2.7790
-4.1994 -4.9021 1.8997
-9.0696 5.6476 4.9453
Nd Tm Al
6 1 2
direct
0.6825 0.5125 0.1224
0.3175 0.4875 0.8776
0.3099 0.7862 0.5939
0.9719 0.7306 0.3255
0.0281 0.2694 0.6745
0.6901 0.2138 0.4061
0.0000 0.0000 0.0000
0.3532 0.1029 0.1907
0.6468 0.8971 0.8093
```

Computed properties:
SG: C2/m

***

# 8
NdTm3Al4 | GGA-PBE | relaxed

Geometry as POSCAR:
```
NdTm3Al4
1.0
5.0618 0.0000 0.0000
0.0000 7.2621 0.0000
0.0000 0.0000 10.1244
Tm Nd Al
6 2 8
direct
0.0000 0.0000 0.0000
0.0000 0.0000 0.5000
0.5006 0.0000 0.7500
0.4994 0.0000 0.2500
0.5003 0.5000 0.7500
0.4997 0.5000 0.2500
0.0000 0.5000 0.0000
0.0000 0.5000 0.5000
0.5000 0.7603 0.0000
0.5000 0.7603 0.5000
0.5000 0.2397 0.0000
0.5000 0.2397 0.5000
0.0007 0.7603 0.7500
0.9993 0.7603 0.2500
0.9993 0.2397 0.2500
0.0007 0.2397 0.7500
```

Computed properties:
SG: P4/mmm

***

Computed formation energy, in the same sequence as the records: -1.803 -2.189 -4.164 2.071 -0.279 -4.276 -1.240 -2.999 eV/f.u..
Computed DFT total energy, in the same sequence as the records: -4.6698 -4.5311 -4.4782 -4.0300 -4.5094 -4.5868 -4.6449 -4.5189 eV per atom.
Computed V, in the same sequence as the records: 30.543 23.010 23.928 35.723 31.922 25.294 30.729 23.260 Å³/atom.